DFT (PBE) results for a relaxed structure of SrMn2Se.

As for the energy relative to the elements, uncorrected: 0.30 eV per atom.

The structure belongs to space group F-43m (No. 216); the cell edges are 7.127, 7.127 and 7.127 Å and the angles 90.00°, 90.00° and 90.00°. The inequivalent atoms are Sr at (0.000, 0.000, 0.000), Mn at (0.000, 0.000, 0.500), Mn at (0.250, 0.250, 0.750) and Se at (0.250, 0.250, 0.250).



DFT (PBE) results for a relaxed structure of AgSb2Os.

As for the energy relative to the elements, uncorrected: 0.40 eV per atom.

The structure belongs to space group C2/m (No. 12); the cell edges are 7.972, 3.310 and 6.674 Å and the angles 90.00°, 100.38° and 90.00°. The inequivalent atoms are Ag at (0.000, 0.000, 0.000), Sb at (0.234, 0.000, 0.714) and Os at (0.000, 0.500, 0.500).



DFT (PBE) results for a relaxed structure of CaErSc2Hg4.

The structure belongs to space group R-3m (No. 166, hexagonal axes); the cell edges are 5.1228, 5.1228 and 25.1288 Å and the angles 90.00°, 90.00° and 120.00°. The inequivalent atoms are Ca at (0.0000, 0.0000, 0.0000), Er at (0.0000, 0.0000, 0.5000), Sc at (0.0000, 0.0000, 0.2509), Hg at (0.0000, 0.0000, 0.1262) and Hg at (0.0000, 0.0000, 0.3765).



Sequential electronic total energy output: -5.57, -5.18, -3.01 eV per atom